1.
A plane-wave DFT calculation with meta-GGA SCAN was carried out for SrYSbI2 at its PBEsol-relaxed geometry.

a = 5.8169 Å, b = 5.8169 Å, c = 6.3512 Å
α = 90.00°, β = 90.00°, γ = 90.00°
Closest atoms and distances in Å follow each position.
Space group P4/mmm (No. 123)
Unique sites:
Sr: 0.0000 0.0000 0.0000 (multiplicity 1)  4 I 2.91, 2 Sb 3.18
Y: 0.5000 0.5000 0.5000 (multiplicity 1)  4 Sb 4.11, 8 I 4.31
Sb: 0.0000 0.0000 0.5000 (multiplicity 1)  2 Sr 3.18
I: 0.0000 0.5000 0.0000 (multiplicity 2)  2 Sr 2.91

Fermi-level density of states (states/eV/atom): 0.46
Uncorrected formation energy (eV/atom): -0.29


2.
A plane-wave DFT calculation with meta-GGA SCAN was carried out for YTaIn2Te at its PBEsol-relaxed geometry.

a = 5.3639 Å, b = 5.3639 Å, c = 5.3105 Å
α = 90.00°, β = 90.00°, γ = 90.00°
Closest atoms and distances in Å follow each position.
Space group P4/mmm (No. 123)
Unique sites:
Y: 0.0000 0.0000 0.0000 (multiplicity 1)  2 Ta 2.66
Ta: 0.0000 0.0000 0.5000 (multiplicity 1)  2 Y 2.66, 4 In 2.68
In: 0.0000 0.5000 0.5000 (multiplicity 2)  2 Ta 2.68
Te: 0.5000 0.5000 0.0000 (multiplicity 1)  8 In 3.77, 4 Y 3.79

Fermi-level density of states (states/eV/atom): 0.59
Uncorrected formation energy (eV/atom): 0.48


3.
A plane-wave DFT calculation with meta-GGA SCAN was carried out for SbTe3W at its PBEsol-relaxed geometry.

a = 5.5462 Å, b = 5.5462 Å, c = 5.5462 Å
α = 90.00°, β = 90.00°, γ = 90.00°
Closest atoms and distances in Å follow each position.
Space group Pm-3m (No. 221)
Unique sites:
Sb: 0.0000 0.0000 0.0000 (multiplicity 1)  6 Te 2.77
Te: 0.0000 0.0000 0.5000 (multiplicity 3)  2 Sb 2.77
W: 0.5000 0.5000 0.5000 (multiplicity 1)  12 Te 3.92

Fermi-level density of states (states/eV/atom): 0.77
Uncorrected formation energy (eV/atom): 1.70


Copy entry 1 word for word.
A plane-wave DFT calculation with meta-GGA SCAN was carried out for SrYSbI2 at its PBEsol-relaxed geometry.

a = 5.8169 Å, b = 5.8169 Å, c = 6.3512 Å
α = 90.00°, β = 90.00°, γ = 90.00°
Closest atoms and distances in Å follow each position.
Space group P4/mmm (No. 123)
Unique sites:
Sr: 0.0000 0.0000 0.0000 (multiplicity 1)  4 I 2.91, 2 Sb 3.18
Y: 0.5000 0.5000 0.5000 (multiplicity 1)  4 Sb 4.11, 8 I 4.31
Sb: 0.0000 0.0000 0.5000 (multiplicity 1)  2 Sr 3.18
I: 0.0000 0.5000 0.0000 (multiplicity 2)  2 Sr 2.91

Fermi-level density of states (states/eV/atom): 0.46
Uncorrected formation energy (eV/atom): -0.29